Record 1
Compound: LiPuSbRu
Source: the Alexandria database
Functional: PBE
Structure: relaxed

Lattice parameters (Å, degrees): 4.720 4.720 4.720 60.00 60.00 60.00
Site moments in Bohr magnetons follow the coordinates.
Atoms (fractional coordinates):
Sb 0.500 0.500 0.500  -0.05
Li 0.750 0.750 0.750  0.04
Ru 0.250 0.250 0.250  -0.40
Pu 0.000 0.000 0.000  5.04

Computed properties:
- Uncorrected formation energy: -29.8 kJ/mol of atoms
- Space group: F-43m

Record 2
Compound: Ac2HgPd6
Source: the Alexandria database
Functional: PBE
Structure: relaxed

Lattice parameters (Å, degrees): 6.239 5.968 5.968 60.00 89.98 89.98
Atoms (fractional coordinates):
Ac 0.805 0.667 0.667
Ac 0.195 0.333 0.333
Hg 0.000 0.000 0.000
Pd 0.327 0.354 0.823
Pd 0.327 0.823 0.823
Pd 0.327 0.823 0.354
Pd 0.673 0.646 0.177
Pd 0.673 0.177 0.177
Pd 0.673 0.177 0.646

Computed properties:
- Distance to the lowest polymorph of the same formula: 0.000 eV/atom
- Space group: P-3m1

Record 3
Compound: BaTa2Sb
Source: the Alexandria database
Functional: PBE
Structure: relaxed

Lattice parameters (Å, degrees): 4.448 4.595 4.595 90.00 90.00 90.00
Atoms (fractional coordinates):
Ba 0.500 0.500 0.000
Sb 0.500 0.000 0.500
Ta 0.000 0.000 0.000
Ta 0.000 0.500 0.500

Computed properties:
- Uncorrected formation energy: 90.0 kJ/mol of atoms
- Space group: P4/mmm

Respective total energy values: -7.72 -5.06 -6.50 eV per atom.